No. 1
Computed, not measured: a relaxed ScCo2 crystal at the PBE level of DFT.

Cell lengths 4.8946, 4.8946, 3.9465 Å; angles 90.00, 90.00, 90.00 degrees
Space group P4_2/mnm (No. 136)
Asymmetric unit:
Sc  0.0000  0.0000  0.0000 (multiplicity 2)
Co  0.1784  0.1784  0.5000 (multiplicity 4)

Calculated values
As for the crystal system: tetragonal. The calculation puts the magnetic moment at 2.0 μB/cell. The formation energy comes out at 1.26 eV/atom. The calculation puts the volume at 15.76 Å³/atom.

No. 2
Computed, not measured: a relaxed ScCo2 crystal at the PBE level of DFT.

Cell lengths 6.8694, 6.8694, 6.8694 Å; angles 90.00, 90.00, 90.00 degrees
Space group Fd-3m (No. 227, origin choice 2)
Asymmetric unit:
Sc  0.1250  0.1250  0.1250 (multiplicity 8)
Co  0.0000  0.0000  0.5000 (multiplicity 16)

Calculated values
As for the crystal system: cubic. The calculation puts the magnetic moment at 13.9 μB/cell. The formation energy comes out at -0.35 eV/atom. The calculation puts the volume at 13.51 Å³/atom.